No. 1
A geometry-optimized Ca2PmHo structure. Source: the Alexandria database, functional GGA-PBE.

Cell: 3.6835 3.6835 36.8600 Å, 90.00 90.00 120.00°
With the nearest neighbours (Å) after each atom.
Element x y z (fractional)
Ca  0.0000  0.0000  0.0000  3 Ho 3.68, 6 Ca 3.68, 3 Pm 3.78
Ca  0.0000  0.0000  0.1637  6 Ca 3.68, 3 Ho 3.70, 3 Pm 3.78
Ca  0.3333  0.6667  0.6667  3 Ho 3.68, 6 Ca 3.68, 3 Pm 3.78
Ca  0.3333  0.6667  0.8303  6 Ca 3.68, 3 Ho 3.70, 3 Pm 3.78
Ca  0.6667  0.3333  0.3333  3 Ho 3.68, 6 Ca 3.68, 3 Pm 3.78
Ca  0.6667  0.3333  0.4970  6 Ca 3.68, 3 Ho 3.70, 3 Pm 3.78
Pm  0.0000  0.0000  0.5819  6 Pm 3.68, 6 Ca 3.78
Pm  0.3333  0.6667  0.2485  6 Pm 3.68, 6 Ca 3.78
Pm  0.6667  0.3333  0.9152  6 Pm 3.68, 6 Ca 3.78
Ho  0.0000  0.0000  0.7482  6 Ca 3.68-3.70, 6 Ho 3.68
Ho  0.3333  0.6667  0.4149  6 Ca 3.68-3.70, 6 Ho 3.68
Ho  0.6667  0.3333  0.0816  6 Ca 3.68-3.70, 6 Ho 3.68

Results
Final energy: -3.215 eV/atom
DOS(E_F): 19.5 states/eV/cell
Magnetic moment: 0.60 μB per formula unit
Formation energy from the elements: 11.40 kJ per mole of atoms
Polymorph energy (0 for the lowest one): 0.068 eV/atom

No. 2
A geometry-optimized AcLaMg2Hg4 structure. Source: the Alexandria database, functional GGA-PBE.

Cell: 9.2357 9.2357 9.2357 Å, 33.51 33.51 33.51°
With the nearest neighbours (Å) after each atom.
Element x y z (fractional)
Ac  0.0000  0.0000  0.0000  8 Hg 3.28-3.33
La  0.5000  0.5000  0.5000  8 Hg 3.20-3.24
Mg  0.2486  0.2486  0.2486  8 Hg 3.16-3.37
Mg  0.7514  0.7514  0.7514  8 Hg 3.16-3.37
Hg  0.1274  0.1274  0.1274  4 Mg 3.16-3.27, 3 La 3.24, 1 Ac 3.33
Hg  0.3775  0.3775  0.3775  1 La 3.20, 4 Mg 3.25-3.37, 3 Ac 3.28
Hg  0.6225  0.6225  0.6225  1 La 3.20, 4 Mg 3.25-3.37, 3 Ac 3.28
Hg  0.8726  0.8726  0.8726  4 Mg 3.16-3.27, 3 La 3.24, 1 Ac 3.33

Results
Final energy: -2.144 eV/atom
DOS(E_F): 3.6 states/eV/cell
Magnetic moment: 0.00 μB per formula unit
Formation energy from the elements: -44.89 kJ per mole of atoms

No. 3
A geometry-optimized HfIn2Hg structure. Source: the Alexandria database, functional GGA-PBE.

Cell: 4.4852 4.4852 4.3805 Å, 90.00 90.00 90.00°
With the nearest neighbours (Å) after each atom.
Element x y z (fractional)
Hf  0.0000  0.0000  0.0000  8 In 3.13, 4 Hg 3.17
In  0.0000  0.5000  0.5000  4 Hg 3.13, 4 Hf 3.13, 4 In 3.17
In  0.5000  0.0000  0.5000  4 Hg 3.13, 4 Hf 3.13, 4 In 3.17
Hg  0.5000  0.5000  0.0000  8 In 3.13, 4 Hf 3.17

Results
Final energy: -3.991 eV/atom
DOS(E_F): 1.3 states/eV/cell
Magnetic moment: 0.00 μB per formula unit
Formation energy from the elements: -5.61 kJ per mole of atoms

No. 4
A geometry-optimized Ba3Li4Ag4 structure. Source: the Alexandria database, functional GGA-PBE.

Cell: 7.3373 7.3373 7.3373 Å, 109.47 109.47 109.47°
With the nearest neighbours (Å) after each atom.
Element x y z (fractional)
Ba  0.0000  0.5000  0.5000  4 Ag 3.49, 4 Li 3.52
Ba  0.5000  0.0000  0.5000  4 Ag 3.49, 4 Li 3.52
Ba  0.5000  0.5000  0.0000  4 Ag 3.49, 4 Li 3.52
Li  0.0000  0.0000  0.2427  4 Ag 2.67-2.84, 3 Li 2.91
Li  0.0000  0.2427  0.0000  4 Ag 2.67-2.84, 3 Li 2.91
Li  0.2427  0.0000  0.0000  4 Ag 2.67-2.84, 3 Li 2.91
Li  0.7573  0.7573  0.7573  4 Ag 2.67-2.84, 3 Li 2.91
Ag  0.0000  0.0000  0.6064  4 Li 2.67-2.84
Ag  0.0000  0.6064  0.0000  4 Li 2.67-2.84
Ag  0.3936  0.3936  0.3936  4 Li 2.67-2.84
Ag  0.6064  0.0000  0.0000  4 Li 2.67-2.84

Results
Final energy: -2.426 eV/atom
DOS(E_F): 7.6 states/eV/cell
Magnetic moment: 0.00 μB per formula unit
Formation energy from the elements: -16.28 kJ per mole of atoms
Polymorph energy (0 for the lowest one): 0.018 eV/atom

No. 5
A geometry-optimized HfThSe structure. Source: the Alexandria database, functional GGA-PBE.

Cell: 3.4939 5.2670 16.5808 Å, 90.00 90.00 90.00°
With the nearest neighbours (Å) after each atom.
Element x y z (fractional)
Hf  0.0000  0.2468  0.0000  2 Hf 2.60-2.67, 2 Se 2.85
Hf  0.0000  0.7532  0.0000  2 Hf 2.60-2.67, 2 Se 2.85
Hf  0.5000  0.2532  0.5000  2 Hf 2.60-2.67, 2 Se 2.85
Hf  0.5000  0.7468  0.5000  2 Hf 2.60-2.67, 2 Se 2.85
Th  0.0000  0.5000  0.3332  5 Se 3.00-3.17
Th  0.0000  0.5000  0.6668  5 Se 3.00-3.17
Th  0.5000  0.0000  0.1668  5 Se 3.00-3.17
Th  0.5000  0.0000  0.8332  5 Se 3.00-3.17
Se  0.0000  0.5000  0.1522  2 Hf 2.85, 5 Th 3.00-3.17
Se  0.0000  0.5000  0.8478  2 Hf 2.85, 5 Th 3.00-3.17
Se  0.5000  0.0000  0.3478  2 Hf 2.85, 5 Th 3.00-3.17
Se  0.5000  0.0000  0.6522  2 Hf 2.85, 5 Th 3.00-3.17

Results
Final energy: -7.481 eV/atom
DOS(E_F): 13.9 states/eV/cell
Formation energy without anion corrections: -0.53 eV/atom
Magnetic moment: 0.00 μB per formula unit

No. 6
A geometry-optimized Nd2BAsPt6 structure. Source: the Alexandria database, functional GGA-PBE.

Cell: 5.8006 8.5691 7.4959 Å, 90.00 90.00 90.00°
With the nearest neighbours (Å) after each atom.
Element x y z (fractional)
Nd  0.2500  0.0304  0.2222  9 Pt 3.03-3.26
Nd  0.2500  0.4696  0.2222  9 Pt 3.03-3.26
Nd  0.7500  0.5304  0.7778  9 Pt 3.03-3.26
Nd  0.7500  0.9696  0.7778  9 Pt 3.03-3.26
B  0.2500  0.2500  0.7009  6 Pt 2.10-2.17
B  0.7500  0.7500  0.2991  6 Pt 2.10-2.17
As  0.2500  0.7500  0.8210  4 Pt 2.47-2.49
As  0.7500  0.2500  0.1790  4 Pt 2.47-2.49
Pt  0.0072  0.7500  0.4972  1 B 2.10
Pt  0.0121  0.2500  0.9190  1 B 2.14
Pt  0.2500  0.0001  0.6527  1 B 2.17
Pt  0.2500  0.4999  0.6527  1 B 2.17
Pt  0.4879  0.2500  0.9190  1 B 2.14
Pt  0.4928  0.7500  0.4972  1 B 2.10
Pt  0.5072  0.2500  0.5028  1 B 2.10
Pt  0.5121  0.7500  0.0810  1 B 2.14
Pt  0.7500  0.9999  0.3473  1 B 2.17
Pt  0.7500  0.5001  0.3473  1 B 2.17
Pt  0.9879  0.7500  0.0810  1 B 2.14
Pt  0.9928  0.2500  0.5028  1 B 2.10

Results
Final energy: -6.546 eV/atom
DOS(E_F): 7.3 states/eV/cell
Magnetic moment: 0.00 μB per formula unit
Formation energy from the elements: -80.59 kJ per mole of atoms

No. 7
A geometry-optimized CsSrFe2Br8 structure. Source: the Alexandria database, functional GGA-PBE.

Cell: 6.9978 6.9978 10.9205 Å, 96.90 96.90 68.72°
With the nearest neighbours (Å) after each atom.
Element x y z (fractional)
Cs  0.0000  0.0000  0.0000  6 Br 3.73-3.92
Sr  0.0000  0.0000  0.5000  6 Br 3.08-3.10
Fe  0.3950  0.3950  0.7159  4 Br 2.35-2.43
Fe  0.6050  0.6050  0.2841  4 Br 2.35-2.43
Br  0.2323  0.7225  0.2825  1 Fe 2.43
Br  0.2686  0.2686  0.5217  1 Fe 2.39
Br  0.2775  0.7677  0.7175  1 Fe 2.43
Br  0.3130  0.3130  0.9011  1 Fe 2.35
Br  0.6870  0.6870  0.0989  1 Fe 2.35
Br  0.7225  0.2323  0.2825  1 Fe 2.43
Br  0.7314  0.7314  0.4783  1 Fe 2.39
Br  0.7677  0.2775  0.7175  1 Fe 2.43

Results
Final energy: -3.848 eV/atom
DOS(E_F): 9.2 states/eV/cell
Formation energy without anion corrections: -1.11 eV/atom
Magnetic moment: 9.00 μB per formula unit

No. 8
A geometry-optimized Cd8Ag6Hg structure. Source: the Alexandria database, functional GGA-PBE.

Cell: 6.9705 6.9705 6.9705 Å, 85.14 85.14 85.14°
With the nearest neighbours (Å) after each atom.
Element x y z (fractional)
Cd  0.0776  0.8230  0.3859  3 Ag 2.85-2.88, 1 Hg 2.94, 2 Cd 3.12-3.15
Cd  0.1770  0.6141  0.9224  3 Ag 2.85-2.88, 1 Hg 2.94, 2 Cd 3.12-3.15
Cd  0.2247  0.2247  0.2247  3 Ag 2.90, 1 Hg 2.93, 3 Cd 3.15
Cd  0.3859  0.0776  0.8230  3 Ag 2.85-2.88, 1 Hg 2.94, 2 Cd 3.12-3.15
Cd  0.6141  0.9224  0.1770  3 Ag 2.85-2.88, 1 Hg 2.94, 2 Cd 3.12-3.15
Cd  0.7753  0.7753  0.7753  3 Ag 2.90, 1 Hg 2.93, 3 Cd 3.15
Cd  0.8230  0.3859  0.0776  3 Ag 2.85-2.88, 1 Hg 2.94, 2 Cd 3.12-3.15
Cd  0.9224  0.1770  0.6141  3 Ag 2.85-2.88, 1 Hg 2.94, 2 Cd 3.12-3.15
Ag  0.2093  0.4495  0.5585  4 Cd 2.85-2.90, 5 Ag 2.92-3.10
Ag  0.4415  0.7907  0.5505  4 Cd 2.85-2.90, 5 Ag 2.92-3.10
Ag  0.4495  0.5585  0.2093  4 Cd 2.85-2.90, 5 Ag 2.92-3.10
Ag  0.5505  0.4415  0.7907  4 Cd 2.85-2.90, 5 Ag 2.92-3.10
Ag  0.5585  0.2093  0.4495  4 Cd 2.85-2.90, 5 Ag 2.92-3.10
Ag  0.7907  0.5505  0.4415  4 Cd 2.85-2.90, 5 Ag 2.92-3.10
Hg  0.0000  0.0000  0.0000  8 Cd 2.93-2.94

Results
Final energy: -1.585 eV/atom
DOS(E_F): 5.8 states/eV/cell
Magnetic moment: 0.00 μB per formula unit
Formation energy from the elements: 6.13 kJ per mole of atoms
Polymorph energy (0 for the lowest one): 0.060 eV/atom